No. 1
Here is crystalline BaHoS2 at its relaxed geometry from Alexandria via LeMat-Bulk. Energies are from PBE-GGA.

a b c (Å): 4.093 4.093 7.524
angles (deg): 74.32 74.32 59.98
Fractional coordinates of all 4 atoms:
Ba 0.500 0.500 0.500
Ho 0.000 0.000 0.000
S 0.736 0.736 0.793
S 0.264 0.264 0.207

**Spin magnetization**: 0.00 μB per formula unit
**Space-group type**: C2/m, No. 12
**E_form (uncorrected)**: -2.0008 eV/atom
**Polymorph energy (0 for the lowest one)**: 0 meV/atom

***

No. 2
Here is crystalline PPdSeS2 at its relaxed geometry from Alexandria via LeMat-Bulk. Energies are from PBE-GGA.

a b c (Å): 4.712 4.712 4.614
angles (deg): 90.00 90.00 90.00
Fractional coordinates of all 5 atoms:
P 0.000 0.000 0.500
S 0.000 0.500 0.000
S 0.500 0.000 0.000
Se 0.500 0.500 0.500
Pd 0.000 0.000 0.000

**Spin magnetization**: 0.00 μB per formula unit
**Space-group type**: P4/mmm, No. 123
**E_form (uncorrected)**: 0.7853 eV/atom
**Polymorph energy (0 for the lowest one)**: 0 meV/atom

***

Question: Look up the spin magnetization of the first one.
Answer: 0.00 μB per formula unit